# PBE Rb2Si2AgS6, relaxed
# formation energy without anion corrections	-0.59	eV per atom
# E_tot	-46.848	eV per formula unit
# calculated volume	322.0	Å³/f.u.
data_Rb2Si2AgS6
_chemical_formula_sum 'Rb6 Si6 Ag3 S18'
_symmetry_space_group_name_H-M 'R -3 m'
_symmetry_Int_Tables_number 166
_symmetry_space_group_name_Hall '-R 3 2"'
_cell_length_a 6.9936
_cell_length_b 6.9936
_cell_length_c 22.8069
_cell_angle_alpha 90.00
_cell_angle_beta 90.00
_cell_angle_gamma 120.00
loop_
_atom_site_label
_atom_site_type_symbol
_atom_site_fract_x
_atom_site_fract_y
_atom_site_fract_z
Rb1 Rb 0.0000 0.0000 0.2188
Si1 Si 0.0000 0.0000 0.4122
Ag1 Ag 0.0000 0.0000 0.0000
S1 S 0.0044 0.5022 0.7490